# 1
# GGA-PBE Dy3ErAl2, optimized geometry
data_Dy3ErAl2
_chemical_formula_sum 'Dy6 Er2 Al4'
_cell_length_a 3.284
_cell_length_b 5.517
_cell_length_c 18.134
_cell_angle_alpha 90.00
_cell_angle_beta 90.00
_cell_angle_gamma 90.00
_space_group_name_H-M_alt 'P 1'
_space_group_IT_number 1
loop_
_space_group_symop_operation_xyz
'x,y,z'
loop_
_atom_site_label
_atom_site_fract_x
_atom_site_fract_y
_atom_site_fract_z
Dy1 0.000 0.000 0.000
Dy2 0.000 0.500 0.188
Dy3 0.000 0.500 0.812
Dy4 0.500 0.000 0.312
Dy5 0.500 0.000 0.688
Dy6 0.500 0.500 0.500
Er1 0.000 0.500 0.000
Er2 0.500 0.000 0.500
Al1 0.000 0.500 0.356
Al2 0.000 0.500 0.644
Al3 0.500 0.000 0.144
Al4 0.500 0.000 0.856
# Crystal system = orthorhombic
# SG = Immm (71)

# 2
# GGA-PBE Dy3ErAl3, optimized geometry
data_Dy3ErAl3
_chemical_formula_sum 'Dy6 Er2 Al6'
_cell_length_a 7.215
_cell_length_b 7.215
_cell_length_c 6.911
_cell_angle_alpha 90.00
_cell_angle_beta 90.00
_cell_angle_gamma 90.40
_space_group_name_H-M_alt 'P 1'
_space_group_IT_number 1
loop_
_space_group_symop_operation_xyz
'x,y,z'
loop_
_atom_site_label
_atom_site_fract_x
_atom_site_fract_y
_atom_site_fract_z
Dy1 0.239 0.239 0.500
Dy2 0.244 0.756 0.000
Dy3 0.246 0.246 0.000
Dy4 0.754 0.754 0.000
Dy5 0.756 0.244 0.000
Dy6 0.761 0.761 0.500
Er1 0.246 0.754 0.500
Er2 0.754 0.246 0.500
Al1 0.000 0.500 0.253
Al2 0.000 0.500 0.747
Al3 0.500 0.000 0.253
Al4 0.500 0.000 0.747
Al5 0.500 0.500 0.255
Al6 0.500 0.500 0.745
# Crystal system = orthorhombic
# SG = Cmmm (65)

# 3
# GGA-PBE Dy2ErAl6, optimized geometry
data_Dy2ErAl6
_chemical_formula_sum 'Dy2 Er1 Al6'
_cell_length_a 7.901
_cell_length_b 7.901
_cell_length_c 3.456
_cell_angle_alpha 90.00
_cell_angle_beta 90.00
_cell_angle_gamma 120.00
_space_group_name_H-M_alt 'P 1'
_space_group_IT_number 1
loop_
_space_group_symop_operation_xyz
'x,y,z'
loop_
_atom_site_label
_atom_site_fract_x
_atom_site_fract_y
_atom_site_fract_z
Dy1 0.333 0.667 0.000
Dy2 0.667 0.333 0.000
Er1 0.000 0.000 0.000
Al1 0.000 0.333 0.500
Al2 0.000 0.667 0.500
Al3 0.333 0.000 0.500
Al4 0.333 0.333 0.500
Al5 0.667 0.000 0.500
Al6 0.667 0.667 0.500
# Crystal system = hexagonal
# SG = P6/mmm (191)

| no. | energy (eV/atom) | total moment (μB per cell) |
| --- | --- | --- |
| 1 | -4.085 | 0.00 |
| 2 | -4.494 | 0.00 |
| 3 | -4.520 | 0.00 |